[1]
First-principles (GGA-PBE) data for a relaxed MnBeRu2 crystal, as listed in the Alexandria database.

Geometry as CIF:
```
data_MnBeRu2
_chemical_formula_sum 'Mn1 Be1 Ru2'
_cell_length_a 6.107
_cell_length_b 6.107
_cell_length_c 6.107
_cell_angle_alpha 154.84
_cell_angle_beta 144.75
_cell_angle_gamma 43.80
_symmetry_space_group_name_H-M 'P 1'
_symmetry_Int_Tables_number 1
loop_
_symmetry_equiv_pos_as_xyz
'x,y,z'
loop_
_atom_site_label
_atom_site_type_symbol
_atom_site_fract_x
_atom_site_fract_y
_atom_site_fract_z
Mn1 Mn 0.000 0.000 0.000
Be1 Be 0.500 0.500 0.000
Ru1 Ru 0.199 0.199 0.000
Ru2 Ru 0.801 0.801 0.000
```

Output
Space-group type   Immm


[2]
First-principles (GGA-PBE) data for a relaxed MnBeRu3 crystal, as listed in the Alexandria database.

Geometry as CIF:
```
data_MnBeRu3
_chemical_formula_sum 'Mn1 Be1 Ru3'
_cell_length_a 4.360
_cell_length_b 4.360
_cell_length_c 4.360
_cell_angle_alpha 90.00
_cell_angle_beta 90.00
_cell_angle_gamma 90.00
_symmetry_space_group_name_H-M 'P 1'
_symmetry_Int_Tables_number 1
loop_
_symmetry_equiv_pos_as_xyz
'x,y,z'
loop_
_atom_site_label
_atom_site_type_symbol
_atom_site_fract_x
_atom_site_fract_y
_atom_site_fract_z
Mn1 Mn 0.000 0.000 0.000
Be1 Be 0.500 0.500 0.500
Ru1 Ru 0.000 0.000 0.500
Ru2 Ru 0.000 0.500 0.000
Ru3 Ru 0.500 0.000 0.000
```

Output
Space-group type   Pm-3m
Polymorph energy (0 for the lowest one)   0.771 eV/atom


[3]
First-principles (GGA-PBE) data for a relaxed MnBeRu2 crystal, as listed in the Alexandria database.

Geometry as CIF:
```
data_MnBeRu2
_chemical_formula_sum 'Mn2 Be2 Ru4'
_cell_length_a 5.113
_cell_length_b 5.113
_cell_length_c 5.113
_cell_angle_alpha 105.85
_cell_angle_beta 105.85
_cell_angle_gamma 117.00
_symmetry_space_group_name_H-M 'P 1'
_symmetry_Int_Tables_number 1
loop_
_symmetry_equiv_pos_as_xyz
'x,y,z'
loop_
_atom_site_label
_atom_site_type_symbol
_atom_site_fract_x
_atom_site_fract_y
_atom_site_fract_z
Mn1 Mn 0.000 0.000 0.000
Mn2 Mn 0.750 0.250 0.500
Be1 Be 0.250 0.750 0.500
Be2 Be 0.500 0.500 0.000
Ru1 Ru 0.139 0.625 0.014
Ru2 Ru 0.375 0.389 0.514
Ru3 Ru 0.611 0.125 0.986
Ru4 Ru 0.875 0.861 0.486
```

Output
Space-group type   I-42d


[4]
First-principles (GGA-PBE) data for a relaxed Mn2BeRu2 crystal, as listed in the Alexandria database.

Geometry as CIF:
```
data_Mn2BeRu2
_chemical_formula_sum 'Mn4 Be2 Ru4'
_cell_length_a 7.024
_cell_length_b 7.024
_cell_length_c 2.671
_cell_angle_alpha 90.00
_cell_angle_beta 90.00
_cell_angle_gamma 90.00
_symmetry_space_group_name_H-M 'P 1'
_symmetry_Int_Tables_number 1
loop_
_symmetry_equiv_pos_as_xyz
'x,y,z'
loop_
_atom_site_label
_atom_site_type_symbol
_atom_site_fract_x
_atom_site_fract_y
_atom_site_fract_z
Mn1 Mn 0.165 0.335 0.000
Mn2 Mn 0.335 0.835 0.000
Mn3 Mn 0.665 0.165 0.000
Mn4 Mn 0.835 0.665 0.000
Be1 Be 0.000 0.000 0.500
Be2 Be 0.500 0.500 0.500
Ru1 Ru 0.133 0.633 0.500
Ru2 Ru 0.367 0.133 0.500
Ru3 Ru 0.633 0.867 0.500
Ru4 Ru 0.867 0.367 0.500
```

Output
Space-group type   P4/mbm
Polymorph energy (0 for the lowest one)   0.000 eV/atom


[5]
First-principles (GGA-PBE) data for a relaxed MnBeRu2 crystal, as listed in the Alexandria database.

Geometry as CIF:
```
data_MnBeRu2
_chemical_formula_sum 'Mn1 Be1 Ru2'
_cell_length_a 4.318
_cell_length_b 4.318
_cell_length_c 4.605
_cell_angle_alpha 102.39
_cell_angle_beta 102.39
_cell_angle_gamma 36.60
_symmetry_space_group_name_H-M 'P 1'
_symmetry_Int_Tables_number 1
loop_
_symmetry_equiv_pos_as_xyz
'x,y,z'
loop_
_atom_site_label
_atom_site_type_symbol
_atom_site_fract_x
_atom_site_fract_y
_atom_site_fract_z
Mn1 Mn 0.000 0.000 0.000
Be1 Be 0.500 0.500 0.500
Ru1 Ru 0.245 0.245 0.737
Ru2 Ru 0.755 0.755 0.263
```

Output
Space-group type   C2/m


[6]
First-principles (GGA-PBE) data for a relaxed MnBeRu crystal, as listed in the Alexandria database.

Geometry as CIF:
```
data_MnBeRu
_chemical_formula_sum 'Mn1 Be1 Ru1'
_cell_length_a 4.687
_cell_length_b 4.687
_cell_length_c 4.687
_cell_angle_alpha 145.77
_cell_angle_beta 145.77
_cell_angle_gamma 49.18
_symmetry_space_group_name_H-M 'P 1'
_symmetry_Int_Tables_number 1
loop_
_symmetry_equiv_pos_as_xyz
'x,y,z'
loop_
_atom_site_label
_atom_site_type_symbol
_atom_site_fract_x
_atom_site_fract_y
_atom_site_fract_z
Mn1 Mn 0.000 0.000 0.000
Be1 Be 0.348 0.348 0.000
Ru1 Ru 0.678 0.678 0.000
```

Output
Space-group type   I4mm
Polymorph energy (0 for the lowest one)   0.000 eV/atom


[7]
First-principles (GGA-PBE) data for a relaxed MnBeRu crystal, as listed in the Alexandria database.

Geometry as CIF:
```
data_MnBeRu
_chemical_formula_sum 'Mn4 Be4 Ru4'
_cell_length_a 5.044
_cell_length_b 3.606
_cell_length_c 7.329
_cell_angle_alpha 90.00
_cell_angle_beta 90.00
_cell_angle_gamma 90.00
_symmetry_space_group_name_H-M 'P 1'
_symmetry_Int_Tables_number 1
loop_
_symmetry_equiv_pos_as_xyz
'x,y,z'
loop_
_atom_site_label
_atom_site_type_symbol
_atom_site_fract_x
_atom_site_fract_y
_atom_site_fract_z
Mn1 Mn 0.109 0.250 0.056
Mn2 Mn 0.391 0.750 0.556
Mn3 Mn 0.609 0.250 0.444
Mn4 Mn 0.891 0.750 0.944
Be1 Be 0.148 0.250 0.729
Be2 Be 0.352 0.750 0.229
Be3 Be 0.648 0.250 0.771
Be4 Be 0.852 0.750 0.271
Ru1 Ru 0.123 0.250 0.381
Ru2 Ru 0.377 0.750 0.881
Ru3 Ru 0.623 0.250 0.119
Ru4 Ru 0.877 0.750 0.619
```

Output
Space-group type   Pnma
Polymorph energy (0 for the lowest one)   0.086 eV/atom


[8]
First-principles (GGA-PBE) data for a relaxed MnBeRu2 crystal, as listed in the Alexandria database.

Geometry as CIF:
```
data_MnBeRu2
_chemical_formula_sum 'Mn1 Be1 Ru2'
_cell_length_a 3.910
_cell_length_b 4.792
_cell_length_c 4.792
_cell_angle_alpha 32.30
_cell_angle_beta 90.00
_cell_angle_gamma 90.00
_symmetry_space_group_name_H-M 'P 1'
_symmetry_Int_Tables_number 1
loop_
_symmetry_equiv_pos_as_xyz
'x,y,z'
loop_
_atom_site_label
_atom_site_type_symbol
_atom_site_fract_x
_atom_site_fract_y
_atom_site_fract_z
Mn1 Mn 0.000 0.000 0.000
Be1 Be 0.500 0.862 0.862
Ru1 Ru 0.000 0.271 0.271
Ru2 Ru 0.500 0.604 0.604
```

Output
Space-group type   Amm2


[9]
First-principles (GGA-PBE) data for a relaxed MnBeRu4 crystal, as listed in the Alexandria database.

Geometry as CIF:
```
data_MnBeRu4
_chemical_formula_sum 'Mn1 Be1 Ru4'
_cell_length_a 5.033
_cell_length_b 5.033
_cell_length_c 5.033
_cell_angle_alpha 60.00
_cell_angle_beta 60.00
_cell_angle_gamma 60.00
_symmetry_space_group_name_H-M 'P 1'
_symmetry_Int_Tables_number 1
loop_
_symmetry_equiv_pos_as_xyz
'x,y,z'
loop_
_atom_site_label
_atom_site_type_symbol
_atom_site_fract_x
_atom_site_fract_y
_atom_site_fract_z
Mn1 Mn 0.000 0.000 0.000
Be1 Be 0.750 0.750 0.750
Ru1 Ru 0.375 0.375 0.375
Ru2 Ru 0.375 0.375 0.875
Ru3 Ru 0.375 0.875 0.375
Ru4 Ru 0.875 0.375 0.375
```

Output
Space-group type   F-43m


[10]
First-principles (GGA-PBE) data for a relaxed Mn2BeRu crystal, as listed in the Alexandria database.

Geometry as CIF:
```
data_Mn2BeRu
_chemical_formula_sum 'Mn4 Be2 Ru2'
_cell_length_a 5.181
_cell_length_b 5.181
_cell_length_c 5.181
_cell_angle_alpha 101.97
_cell_angle_beta 101.97
_cell_angle_gamma 125.82
_symmetry_space_group_name_H-M 'P 1'
_symmetry_Int_Tables_number 1
loop_
_symmetry_equiv_pos_as_xyz
'x,y,z'
loop_
_atom_site_label
_atom_site_type_symbol
_atom_site_fract_x
_atom_site_fract_y
_atom_site_fract_z
Mn1 Mn 0.092 0.625 0.967
Mn2 Mn 0.375 0.342 0.467
Mn3 Mn 0.658 0.125 0.033
Mn4 Mn 0.875 0.908 0.533
Be1 Be 0.000 0.000 0.000
Be2 Be 0.750 0.250 0.500
Ru1 Ru 0.250 0.750 0.500
Ru2 Ru 0.500 0.500 0.000
```

Output
Space-group type   I-42d


[11]
First-principles (GGA-PBE) data for a relaxed Mn2BeRu crystal, as listed in the Alexandria database.

Geometry as CIF:
```
data_Mn2BeRu
_chemical_formula_sum 'Mn2 Be1 Ru1'
_cell_length_a 2.659
_cell_length_b 2.659
_cell_length_c 6.397
_cell_angle_alpha 90.00
_cell_angle_beta 90.00
_cell_angle_gamma 90.00
_symmetry_space_group_name_H-M 'P 1'
_symmetry_Int_Tables_number 1
loop_
_symmetry_equiv_pos_as_xyz
'x,y,z'
loop_
_atom_site_label
_atom_site_type_symbol
_atom_site_fract_x
_atom_site_fract_y
_atom_site_fract_z
Mn1 Mn 0.000 0.000 0.223
Mn2 Mn 0.000 0.000 0.777
Be1 Be 0.500 0.500 0.000
Ru1 Ru 0.500 0.500 0.500
```

Output
Space-group type   P4/mmm


[12]
First-principles (GGA-PBE) data for a relaxed MnBeRu2 crystal, as listed in the Alexandria database.

Geometry as CIF:
```
data_MnBeRu2
_chemical_formula_sum 'Mn1 Be1 Ru2'
_cell_length_a 4.170
_cell_length_b 4.170
_cell_length_c 4.170
_cell_angle_alpha 60.00
_cell_angle_beta 60.00
_cell_angle_gamma 60.00
_symmetry_space_group_name_H-M 'P 1'
_symmetry_Int_Tables_number 1
loop_
_symmetry_equiv_pos_as_xyz
'x,y,z'
loop_
_atom_site_label
_atom_site_type_symbol
_atom_site_fract_x
_atom_site_fract_y
_atom_site_fract_z
Mn1 Mn 0.000 0.000 0.000
Be1 Be 0.250 0.250 0.250
Ru1 Ru 0.500 0.500 0.500
Ru2 Ru 0.750 0.750 0.750
```

Output
Space-group type   F-43m


| no. | E (eV/atom) |
| --- | --- |
| 1 | -7.30 |
| 2 | -6.71 |
| 3 | -7.32 |
| 4 | -7.74 |
| 5 | -7.83 |
| 6 | -7.57 |
| 7 | -7.48 |
| 8 | -7.85 |
| 9 | -7.74 |
| 10 | -7.29 |
| 11 | -7.81 |
| 12 | -7.67 |